--- 1 ---
ZrGaCo2H: optimized geometry, PBE.

Calculated volume in Å³ per cell: 59.5
SG: P4/mmm, No. 123
Theoretical density in g/cm³: 7.8

Lattice parameters (Å, degrees): 3.902 3.902 3.905 90.00 90.00 90.00
Element x y z (fractional)
Zr (0.000, 0.000, 0.000)
Ga (0.500, 0.500, 0.000)
Co (0.000, 0.500, 0.500)
Co (0.500, 0.000, 0.500)
H (0.000, 0.000, 0.500)

--- 2 ---
ZrGaCo2H: optimized geometry, PBE.

Calculated volume in Å³ per cell: 121.0
SG: Cmcm, No. 63
Theoretical density in g/cm³: 7.7

Lattice parameters (Å, degrees): 5.605 5.605 7.046 90.00 90.00 146.88
Element x y z (fractional)
Zr (0.026, 0.974, 0.750)
Zr (0.974, 0.026, 0.250)
Ga (0.250, 0.750, 0.250)
Ga (0.750, 0.250, 0.750)
Co (0.357, 0.643, 0.553)
Co (0.357, 0.643, 0.947)
Co (0.643, 0.357, 0.053)
Co (0.643, 0.357, 0.447)
H (0.500, 0.500, 0.000)
H (0.500, 0.500, 0.500)

Of them, 2 has the highest stability.

--- 1 ---
HfGaCo3: optimized geometry, PBE.

Calculated volume in Å³ per cell: 92.2
SG: Pm-3m, No. 221
Theoretical density in g/cm³: 7.7

Lattice parameters (Å, degrees): 4.518 4.518 4.518 90.00 90.00 90.00
Element x y z (fractional)
Hf (0.000, 0.000, 0.000)
Ga (0.500, 0.500, 0.500)
Co (0.000, 0.000, 0.500)
Co (0.000, 0.500, 0.000)
Co (0.500, 0.000, 0.000)

--- 2 ---
HfGaCo3: optimized geometry, PBE.

Calculated volume in Å³ per cell: 76.1
SG: Pm-3m, No. 221
Theoretical density in g/cm³: 9.3

Lattice parameters (Å, degrees): 4.237 4.237 4.237 90.00 90.00 90.00
Element x y z (fractional)
Hf (0.000, 0.000, 0.000)
Ga (0.500, 0.500, 0.500)
Co (0.000, 0.500, 0.500)
Co (0.500, 0.000, 0.500)
Co (0.500, 0.500, 0.000)

--- 3 ---
HfGaCo3: optimized geometry, PBE.

Calculated volume in Å³ per cell: 141.7
SG: Cmcm, No. 63
Theoretical density in g/cm³: 10.0

Lattice parameters (Å, degrees): 7.228 7.228 4.420 90.00 90.00 142.16
Element x y z (fractional)
Hf (0.199, 0.801, 0.750)
Hf (0.801, 0.199, 0.250)
Ga (0.432, 0.568, 0.250)
Ga (0.568, 0.432, 0.750)
Co (0.000, 0.000, 0.000)
Co (0.000, 0.000, 0.500)
Co (0.139, 0.391, 0.750)
Co (0.391, 0.139, 0.250)
Co (0.609, 0.861, 0.750)
Co (0.861, 0.609, 0.250)

Of them, 3 has the highest stability.

--- 1 ---
Hf3GaCo: optimized geometry, PBE.

Calculated volume in Å³ per cell: 106.6
SG: Pm-3m, No. 221
Theoretical density in g/cm³: 10.3

Lattice parameters (Å, degrees): 4.742 4.742 4.742 90.00 90.00 90.00
Element x y z (fractional)
Hf (0.000, 0.000, 0.500)
Hf (0.000, 0.500, 0.000)
Hf (0.500, 0.000, 0.000)
Ga (0.500, 0.500, 0.500)
Co (0.000, 0.000, 0.000)

--- 2 ---
Hf3GaCo: optimized geometry, PBE.

Calculated volume in Å³ per cell: 198.4
SG: P6_3/mmc, No. 194
Theoretical density in g/cm³: 11.1

Lattice parameters (Å, degrees): 6.768 6.768 5.002 90.00 90.00 120.00
Element x y z (fractional)
Hf (0.181, 0.361, 0.250)
Hf (0.181, 0.819, 0.250)
Hf (0.361, 0.181, 0.750)
Hf (0.639, 0.819, 0.250)
Hf (0.819, 0.181, 0.750)
Hf (0.819, 0.639, 0.750)
Ga (0.333, 0.667, 0.750)
Ga (0.667, 0.333, 0.250)
Co (0.000, 0.000, 0.000)
Co (0.000, 0.000, 0.500)

--- 3 ---
Hf3GaCo: optimized geometry, PBE.

Calculated volume in Å³ per cell: 187.5
SG: C2/m, No. 12
Theoretical density in g/cm³: 11.8

Lattice parameters (Å, degrees): 5.434 5.434 7.756 111.04 111.04 64.74
Element x y z (fractional)
Hf (0.014, 0.014, 0.232)
Hf (0.297, 0.297, 0.674)
Hf (0.305, 0.305, 0.126)
Hf (0.695, 0.695, 0.874)
Hf (0.703, 0.703, 0.326)
Hf (0.986, 0.986, 0.768)
Ga (0.288, 0.712, 0.500)
Ga (0.712, 0.288, 0.500)
Co (0.294, 0.706, 0.000)
Co (0.706, 0.294, 0.000)

Of them, 3 has the highest stability.

--- 1 ---
Hf3Ga3Co2: optimized geometry, PBE.

Calculated volume in Å³ per cell: 526.0
SG: Pnma, No. 62
Theoretical density in g/cm³: 10.9

Lattice parameters (Å, degrees): 7.447 13.436 5.257 90.00 90.00 90.00
Element x y z (fractional)
Hf (0.030, 0.114, 0.110)
Hf (0.030, 0.386, 0.110)
Hf (0.175, 0.250, 0.639)
Hf (0.325, 0.750, 0.139)
Hf (0.470, 0.614, 0.610)
Hf (0.470, 0.886, 0.610)
Hf (0.530, 0.114, 0.390)
Hf (0.530, 0.386, 0.390)
Hf (0.675, 0.250, 0.861)
Hf (0.825, 0.750, 0.361)
Hf (0.970, 0.614, 0.890)
Hf (0.970, 0.886, 0.890)
Ga (0.183, 0.750, 0.631)
Ga (0.188, 0.032, 0.600)
Ga (0.188, 0.468, 0.600)
Ga (0.312, 0.532, 0.100)
Ga (0.312, 0.968, 0.100)
Ga (0.317, 0.250, 0.131)
Ga (0.683, 0.750, 0.869)
Ga (0.688, 0.032, 0.900)
Ga (0.688, 0.468, 0.900)
Ga (0.812, 0.532, 0.400)
Ga (0.812, 0.968, 0.400)
Ga (0.817, 0.250, 0.369)
Co (0.091, 0.614, 0.353)
Co (0.091, 0.886, 0.353)
Co (0.409, 0.114, 0.853)
Co (0.409, 0.386, 0.853)
Co (0.591, 0.614, 0.147)
Co (0.591, 0.886, 0.147)
Co (0.909, 0.114, 0.647)
Co (0.909, 0.386, 0.647)

--- 2 ---
Hf3Ga3Co2: optimized geometry, PBE.

Calculated volume in Å³ per cell: 262.5
SG: Cmcm, No. 63
Theoretical density in g/cm³: 10.9

Lattice parameters (Å, degrees): 5.289 5.289 13.130 90.00 90.00 134.39
Element x y z (fractional)
Hf (0.069, 0.931, 0.613)
Hf (0.069, 0.931, 0.887)
Hf (0.344, 0.656, 0.750)
Hf (0.656, 0.344, 0.250)
Hf (0.931, 0.069, 0.113)
Hf (0.931, 0.069, 0.387)
Ga (0.363, 0.637, 0.250)
Ga (0.366, 0.634, 0.533)
Ga (0.366, 0.634, 0.967)
Ga (0.634, 0.366, 0.033)
Ga (0.634, 0.366, 0.467)
Ga (0.637, 0.363, 0.750)
Co (0.197, 0.803, 0.112)
Co (0.197, 0.803, 0.388)
Co (0.803, 0.197, 0.612)
Co (0.803, 0.197, 0.888)

Of them, 2 has the highest stability.